Material: BaAsRhSe2
Method: DFT, PBE-GGA
State: relaxed

abc: 5.958 5.958 5.861
angles: 90.00 90.00 90.00
Fractional coordinates of all 5 atoms:
Ba  0.000  0.000  0.000
As  0.000  0.000  0.500
Rh  0.500  0.500  0.500
Se  0.000  0.500  0.000
Se  0.500  0.000  0.000

Calculated values
Total moment ... 2.26 μB/cell
Calculated density ... 3.78 g/cm3
Formation energy from raw total energies ... 123.45 kJ per mole of atoms
VASP energy ... -2.90 eV per atom



Material: BaAsRhSe2
Method: DFT, PBE-GGA
State: relaxed

abc: 5.325 5.325 4.576
angles: 90.00 90.00 90.00
Fractional coordinates of all 5 atoms:
Ba  0.000  0.000  0.000
As  0.500  0.500  0.000
Rh  0.500  0.500  0.500
Se  0.000  0.500  0.500
Se  0.500  0.000  0.500

Calculated values
Total moment ... 0.00 μB/cell
Calculated density ... 6.05 g/cm3
Formation energy from raw total energies ... -64.97 kJ per mole of atoms
VASP energy ... -4.85 eV per atom



Material: BaSrAsRh
Method: DFT, PBE-GGA
State: relaxed

abc: 4.689 4.790 10.365
angles: 90.00 90.00 90.00
Fractional coordinates of all 8 atoms:
Ba  0.000  0.000  0.000
Ba  0.000  0.500  0.500
Sr  0.500  0.000  0.707
Sr  0.500  0.500  0.207
As  0.500  0.000  0.394
As  0.500  0.500  0.894
Rh  0.000  0.000  0.299
Rh  0.000  0.500  0.799

Calculated values
Total moment ... 0.00 μB/cell
Calculated density ... 5.75 g/cm3
E_form ... -0.714 eV/atom
VASP energy ... -4.62 eV per atom



Material: Ba2TaAsRh
Method: DFT, PBE-GGA
State: relaxed

abc: 6.132 6.132 4.633
angles: 90.00 90.00 90.00
Fractional coordinates of all 5 atoms:
Ba  0.000  0.500  0.000
Ba  0.500  0.000  0.000
Ta  0.000  0.000  0.500
As  0.500  0.500  0.500
Rh  0.500  0.500  0.000

Calculated values
Total moment ... 4.31 μB/cell
Calculated density ... 6.04 g/cm3
E_form ... 0.568 eV/atom
VASP energy ... -4.97 eV per atom



no.,density of states at the Fermi level (states/eV/cell)
1,13.48
2,3.00
3,2.23
4,3.26